4
Lattice="2.997 -0.010 0.000 -1.106 2.785 0.000 0.000 0.000 9.219" Properties=species:S:1:pos:R:3 comment="CaYOs2 (PBE, relaxed)" sg=Cmmm dft_energy_ev_per_atom=-7.204 rho_g_cm3=11.0 total_magnetization_mub_per_fu=0.0 pbc="T T T"
Y 0.945 1.387 2.305
Ca 0.945 1.387 6.914
Os 0.000 0.000 0.052
Os 0.000 0.000 4.557